The following is a SCAN calculation of BaTlSi2 at its PBEsol-relaxed geometry, from the Alexandria database.

Structure (POSCAR):
```
BaTlSi2
1.0
-2.3487 2.3487 4.6560
2.3487 -2.3487 4.6560
2.3487 2.3487 -4.6560
Ba Tl Si
1 1 2
Direct
0.0000 0.0000 0.0000
0.5000 0.5000 0.0000
0.2500 0.7500 0.5000
0.7500 0.2500 0.5000
```

Results
N(E_F): 0.62 states/eV per atom
Crystal system: tetragonal
Symmetry: No. 139
Distance to the lowest polymorph of the same formula: 499 meV/atom
Formation energy from raw total energies: 0.36 eV per atom
DFT total energy: -130.50 eV per formula unit
Magnetic moment: 0.00 μB per formula unit



The following is a SCAN calculation of Ba3TlSi at its PBEsol-relaxed geometry, from the Alexandria database.

Structure (POSCAR):
```
Ba3TlSi
1.0
6.3699 0.0000 0.0000
0.0000 6.3699 0.0000
0.0000 0.0000 6.3699
Ba Tl Si
3 1 1
Direct
0.0000 0.0000 0.5000
0.0000 0.5000 0.0000
0.5000 0.0000 0.0000
0.0000 0.0000 0.0000
0.5000 0.5000 0.5000
```

Results
N(E_F): 1.87 states/eV per atom
Crystal system: cubic
Symmetry: No. 221
Formation energy from raw total energies: 0.27 eV per atom
DFT total energy: -199.68 eV per formula unit
Magnetic moment: 1.20 μB per formula unit



The following is a SCAN calculation of BaTlSi2 at its PBEsol-relaxed geometry, from the Alexandria database.

Structure (POSCAR):
```
BaTlSi2
1.0
3.5731 0.0000 0.0000
0.0000 3.5731 0.0000
0.0000 0.0000 7.5255
Ba Tl Si
1 1 2
Direct
0.0000 0.0000 0.0000
0.5000 0.5000 0.3379
0.0000 0.0000 0.5851
0.5000 0.5000 0.6977
```

Results
N(E_F): 0.37 states/eV per atom
Crystal system: tetragonal
Symmetry: No. 99
Distance to the lowest polymorph of the same formula: 201 meV/atom
Formation energy from raw total energies: 0.06 eV per atom
DFT total energy: -131.69 eV per formula unit
Magnetic moment: 0.00 μB per formula unit



The following is a SCAN calculation of Ba2TlSi at its PBEsol-relaxed geometry, from the Alexandria database.

Structure (POSCAR):
```
Ba2TlSi
1.0
4.5445 0.0000 0.0000
0.0000 2.4854 6.2561
0.0000 -2.4854 6.2561
Ba Tl Si
2 1 1
Direct
0.0000 0.0000 0.0000
0.5000 0.2815 0.2815
0.5000 0.5778 0.5778
0.0000 0.7106 0.7106
```

Results
N(E_F): 0.76 states/eV per atom
Crystal system: orthorhombic
Symmetry: No. 38
Formation energy from raw total energies: -0.46 eV per atom
DFT total energy: -163.30 eV per formula unit
Magnetic moment: 0.00 μB per formula unit



The following is a SCAN calculation of BaTlSi2 at its PBEsol-relaxed geometry, from the Alexandria database.

Structure (POSCAR):
```
BaTlSi2
1.0
-1.9385 2.3578 5.9122
1.9385 -2.3578 5.9122
1.9385 2.3578 -5.9122
Ba Tl Si
1 1 2
Direct
0.0000 0.0000 0.0000
0.7143 0.2143 0.5000
0.2522 0.7522 0.5000
0.3748 0.3748 0.0000
```

Results
N(E_F): 0.32 states/eV per atom
Crystal system: orthorhombic
Symmetry: No. 44
Distance to the lowest polymorph of the same formula: 0 meV/atom
Formation energy from raw total energies: -0.14 eV per atom
DFT total energy: -132.50 eV per formula unit
Magnetic moment: 0.00 μB per formula unit



The following is a SCAN calculation of Ba2TlSi at its PBEsol-relaxed geometry, from the Alexandria database.

Structure (POSCAR):
```
Ba2TlSi
1.0
3.8275 0.0000 0.0000
0.0000 5.5168 0.0000
0.0000 0.0000 6.9075
Ba Tl Si
2 1 1
Direct
0.0000 0.0000 0.0000
0.5000 0.5000 0.4263
0.5000 0.5000 0.9004
0.0000 0.0000 0.5202
```

Results
N(E_F): 1.07 states/eV per atom
Crystal system: orthorhombic
Symmetry: No. 25
Formation energy from raw total energies: -0.01 eV per atom
DFT total energy: -161.52 eV per formula unit
Magnetic moment: 0.00 μB per formula unit



Question: The lowest formation energy from raw total energies belongs to which entry?
Answer: number 4